No. 1
An optimized crystal structure of PaTi2In. Source: the Alexandria database, functional GGA-PBE.

Values from the calculation:
The raw total energy is -6.9039 eV per atom. The space group is R-3m, No. 166.

Cell lengths 10.009, 10.009, 10.009 Å; angles 18.02, 18.02, 18.02 degrees
Sites, in units of the cell vectors:
Pa: 0.000 0.000 0.000
Ti: 0.249 0.249 0.249
Ti: 0.751 0.751 0.751
In: 0.500 0.500 0.500


No. 2
An optimized crystal structure of K4Ag3Au2. Source: the Alexandria database, functional GGA-PBE.

Values from the calculation:
The raw total energy is -2.2556 eV per atom. The space group is C2/m, No. 12.

Cell lengths 8.713, 8.713, 7.658 Å; angles 104.14, 104.14, 31.23 degrees
Sites, in units of the cell vectors:
K: 0.079 0.079 0.384
K: 0.272 0.272 0.817
K: 0.728 0.728 0.183
K: 0.921 0.921 0.616
Ag: 0.397 0.397 0.253
Ag: 0.500 0.500 0.000
Ag: 0.603 0.603 0.747
Au: 0.086 0.086 0.941
Au: 0.914 0.914 0.059


No. 3
An optimized crystal structure of Dy8Ga2Ni. Source: the Alexandria database, functional GGA-PBE.

Values from the calculation:
The raw total energy is -4.6938 eV per atom. The space group is C2/m, No. 12.

Cell lengths 9.421, 9.421, 6.577 Å; angles 101.00, 101.00, 30.23 degrees
Sites, in units of the cell vectors:
Dy: 0.022 0.022 0.279
Dy: 0.210 0.210 0.815
Dy: 0.350 0.350 0.520
Dy: 0.409 0.409 0.040
Dy: 0.591 0.591 0.960
Dy: 0.650 0.650 0.480
Dy: 0.790 0.790 0.185
Dy: 0.978 0.978 0.721
Ga: 0.189 0.189 0.258
Ga: 0.811 0.811 0.742
Ni: 0.500 0.500 0.500


The records above give, respectively, size of the total moment values of 0.0, 0.0, 0.0 μB per formula unit.